No. 1
V2GaAu2: optimized geometry, PBE.

energy of formation from the pure elements	103	kJ/mol of formula units
space group	P4/mbm (127)
energy relative to the lowest polymorph listed for this composition	0.026	eV/atom
size of the total moment	8.6	Bohr magnetons per cell

Lattice parameters (Å, degrees): 7.386 7.386 3.183 90.00 90.00 90.00
Positions (direct):
1 V 0.158 0.342 0.000
2 V 0.342 0.842 0.000
3 V 0.658 0.158 0.000
4 V 0.842 0.658 0.000
5 Ga 0.000 0.000 0.500
6 Ga 0.500 0.500 0.500
7 Au 0.140 0.640 0.500
8 Au 0.360 0.140 0.500
9 Au 0.640 0.860 0.500
10 Au 0.860 0.360 0.500

***

No. 2
Th2GaPt6: optimized geometry, PBE.

energy of formation from the pure elements	-923	kJ/mol of formula units
space group	P-3m1 (164)
size of the total moment	0.0	Bohr magnetons per cell

Lattice parameters (Å, degrees): 5.776 5.776 5.984 90.00 90.00 120.00
Positions (direct):
1 Th 0.333 0.667 0.322
2 Th 0.667 0.333 0.678
3 Ga 0.000 0.000 0.500
4 Pt 0.173 0.346 0.809
5 Pt 0.173 0.827 0.809
6 Pt 0.346 0.173 0.191
7 Pt 0.654 0.827 0.809
8 Pt 0.827 0.173 0.191
9 Pt 0.827 0.654 0.191

***

No. 3
ZrCuPt2: optimized geometry, PBE.

energy of formation from the pure elements	-236	kJ/mol of formula units
space group	Pmm2 (25)
size of the total moment	0.0	Bohr magnetons per cell

Lattice parameters (Å, degrees): 3.463 3.541 5.446 90.00 90.00 90.00
Positions (direct):
1 Zr 0.000 0.000 0.000
2 Cu 0.500 0.500 0.720
3 Pt 0.000 0.000 0.522
4 Pt 0.500 0.500 0.233

***

No. 4
NdH4Ir: optimized geometry, PBE.

total DFT energy (no corrections)	-4.997	eV per atom
space group	Immm (71)
size of the total moment	0.0	Bohr magnetons per cell

Lattice parameters (Å, degrees): 4.045 4.618 6.763 90.00 90.00 90.00
Positions (direct):
1 Nd 0.000 0.000 0.000
2 Nd 0.500 0.500 0.500
3 H 0.000 0.263 0.329
4 H 0.000 0.263 0.671
5 H 0.000 0.737 0.329
6 H 0.000 0.737 0.671
7 H 0.500 0.237 0.171
8 H 0.500 0.237 0.829
9 H 0.500 0.763 0.171
10 H 0.500 0.763 0.829
11 Ir 0.000 0.000 0.500
12 Ir 0.500 0.500 0.000

***

No. 5
IrRu2Rh2: optimized geometry, PBE.

energy of formation from the pure elements	5	kJ/mol of formula units
space group	Immm (71)
energy relative to the lowest polymorph listed for this composition	0.000	eV/atom
size of the total moment	0.0	Bohr magnetons per cell

Lattice parameters (Å, degrees): 2.714 3.841 13.564 90.00 90.00 90.00
Positions (direct):
1 Ir 0.000 0.000 0.000
2 Ir 0.500 0.500 0.500
3 Ru 0.000 0.000 0.400
4 Ru 0.000 0.000 0.600
5 Ru 0.500 0.500 0.100
6 Ru 0.500 0.500 0.900
7 Rh 0.000 0.000 0.198
8 Rh 0.000 0.000 0.802
9 Rh 0.500 0.500 0.302
10 Rh 0.500 0.500 0.698

***

No. 6
SiPd5: optimized geometry, PBE.

space group	P2_1/m (11)
raw formation energy	-0.34	eV per atom
size of the total moment	0.0	Bohr magnetons per cell

Lattice parameters (Å, degrees): 2.917 7.673 8.177 90.00 100.22 90.00
Positions (direct):
1 Si 0.235 0.250 0.467
2 Si 0.765 0.750 0.533
3 Pd 0.000 0.000 0.000
4 Pd 0.000 0.500 0.000
5 Pd 0.179 0.554 0.360
6 Pd 0.179 0.946 0.360
7 Pd 0.390 0.750 0.782
8 Pd 0.430 0.250 0.859
9 Pd 0.570 0.750 0.141
10 Pd 0.610 0.250 0.218
11 Pd 0.821 0.054 0.640
12 Pd 0.821 0.446 0.640

***

No. 7
NaLa3P: optimized geometry, PBE.

energy of formation from the pure elements	-194	kJ/mol of formula units
space group	Pm-3m (221)
energy relative to the lowest polymorph listed for this composition	0.000	eV/atom
size of the total moment	0.0	Bohr magnetons per cell

Lattice parameters (Å, degrees): 5.733 5.733 5.733 90.00 90.00 90.00
Positions (direct):
1 Na 0.000 0.000 0.000
2 La 0.000 0.500 0.500
3 La 0.500 0.000 0.500
4 La 0.500 0.500 0.000
5 P 0.500 0.500 0.500

***

No. 8
Pr2CrAs4Pd3: optimized geometry, PBE.

energy of formation from the pure elements	-751	kJ/mol of formula units
space group	P-4m2 (115)
size of the total moment	3.5	Bohr magnetons per cell

Lattice parameters (Å, degrees): 4.394 4.394 10.241 90.00 90.00 90.00
Positions (direct):
1 Pr 0.000 0.500 0.243
2 Pr 0.500 0.000 0.757
3 Cr 0.000 0.000 0.500
4 As 0.000 0.000 0.000
5 As 0.000 0.500 0.632
6 As 0.500 0.000 0.368
7 As 0.500 0.500 0.000
8 Pd 0.000 0.500 0.875
9 Pd 0.500 0.000 0.125
10 Pd 0.500 0.500 0.500